{"formula": "ScWCl", "functional": "PBE", "state": "optimized geometry", "lattice_angstrom": [[-1.4533, 1.4533, 7.8815], [1.4533, -1.4533, 7.8815], [1.4533, 1.4533, -7.8815]], "species": ["Sc", "W", "Cl"], "fractional_positions": [[0.0000, 0.0000, 0.0000], [0.6352, 0.6352, 0.0000], [0.3917, 0.3917, 0.0000]], "n_ef_per_ev_cell": 1.576, "raw_formation_energy_ev_per_atom": -0.001, "space_group": "I4mm, No. 107", "e_above_lowest_polymorph_ev_per_fu": 0.28, "final_energy_ev_per_atom": -7.045}